1.
Compound: ZrSc2Al
Source: Alexandria
Functional: meta-GGA SCAN
Structure: single point on PBEsol structure

abc: 4.2913 4.2913 8.8821
angles: 90.00 90.00 90.00
Last column: nearest neighbours and their distance in Å.
Space group I-4m2 (No. 119)
Unique sites:
Zr 0.0000 0.0000 0.0000 x2  8 Sc 3.03-3.09, 4 Al 3.09
Sc 0.0000 0.0000 0.5000 x2  4 Zr 3.03, 4 Al 3.09, 4 Sc 3.09
Sc 0.0000 0.5000 0.7500 x2  4 Al 3.03, 4 Zr 3.09, 4 Sc 3.09
Al 0.0000 0.5000 0.2500 x2  8 Sc 3.03-3.09, 4 Zr 3.09

Summary:
formation energy	-0.886	eV/f.u.
calculated total energy	-0.62300	Ha/atom
DOS at the Fermi energy	0.8972	states/eV/atom


2.
Compound: FeRuRh2
Source: Alexandria
Functional: meta-GGA SCAN
Structure: single point on PBEsol structure

abc: 2.6459 2.6459 25.5653
angles: 90.00 90.00 120.00
Last column: nearest neighbours and their distance in Å.
Space group R-3m (No. 166, hexagonal axes)
Unique sites:
Fe 0.0000 0.0000 0.0000 x3  6 Rh 2.59, 6 Fe 2.65
Ru 0.0000 0.0000 0.5000 x3  6 Ru 2.65, 6 Rh 2.66
Rh 0.0000 0.0000 0.2516 x6  3 Fe 2.59, 6 Rh 2.65, 3 Ru 2.66

Summary:
formation energy	-0.017	eV/f.u.
calculated total energy	-1.10722	Ha/atom
DOS at the Fermi energy	1.0103	states/eV/atom


3.
Compound: BeTl2Os
Source: Alexandria
Functional: meta-GGA SCAN
Structure: single point on PBEsol structure

abc: 3.4683 3.4683 5.7396
angles: 90.00 90.00 90.00
Last column: nearest neighbours and their distance in Å.
Space group P4/mmm (No. 123)
Unique sites:
Be 0.0000 0.0000 0.0000 x1  8 Tl 2.82, 2 Os 2.87
Tl 0.5000 0.5000 0.2431 x2  2 Tl 2.79-2.95, 4 Be 2.82, 4 Os 2.86
Os 0.0000 0.0000 0.5000 x1  8 Tl 2.86, 2 Be 2.87

Summary:
formation energy	3.974	eV/f.u.
calculated total energy	-1.99343	Ha/atom
DOS at the Fermi energy	0.3694	states/eV/atom
excess energy over the best structure of this formula in the dataset	0.332	eV/atom


4.
Compound: Ta2TeOs
Source: Alexandria
Functional: meta-GGA SCAN
Structure: single point on PBEsol structure

abc: 5.8410 7.6008 3.1839
angles: 90.00 98.14 90.00
Last column: nearest neighbours and their distance in Å.
Space group C2/m (No. 12)
Unique sites:
Ta 0.2500 0.2500 0.0000 x4  4 Os 2.76-2.99, 4 Te 2.76-2.99, 2 Ta 2.92
Te 0.0000 0.0000 0.5000 x2  8 Ta 2.76-2.99, 2 Os 2.92
Os 0.0000 0.5000 0.5000 x2  8 Ta 2.76-2.99, 2 Te 2.92

Summary:
calculated total energy	-2.21867	Ha/atom
uncorrected formation energy	0.201	eV/atom
DOS at the Fermi energy	0.5095	states/eV/atom


5.
Compound: Ti2CoH2
Source: Alexandria
Functional: meta-GGA SCAN
Structure: single point on PBEsol structure

abc: 2.8822 2.8822 11.0731
angles: 90.00 90.00 90.00
Last column: nearest neighbours and their distance in Å.
Space group I4/mmm (No. 139)
Unique sites:
Ti 0.0000 0.0000 0.1378 x4  4 H 1.90
Co 0.0000 0.0000 0.5000 x2  8 Ti 2.55
H 0.0000 0.5000 0.2500 x4  4 Ti 1.90, 4 H 2.04

Summary:
calculated total energy	-0.43052	Ha/atom
DOS at the Fermi energy	0.4893	states/eV/atom


6.
Compound: BeTeAu
Source: Alexandria
Functional: meta-GGA SCAN
Structure: single point on PBEsol structure

abc: 6.0755 6.0755 6.0755
angles: 90.00 90.00 90.00
Last column: nearest neighbours and their distance in Å.
Space group F-43m (No. 216)
Unique sites:
Be 0.0000 0.0000 0.0000 x4  4 Te 2.63, 4 Au 2.63
Te 0.2500 0.2500 0.7500 x4  4 Be 2.63
Au 0.2500 0.2500 0.2500 x4  4 Be 2.63

Summary:
calculated total energy	-1.35401	Ha/atom
uncorrected formation energy	0.076	eV/atom
DOS at the Fermi energy	0.3616	states/eV/atom